Entry 1:
Below is a geometry-optimized K2ScMoO6 structure, with properties calculated at the PBE+U level.

Geometry as POSCAR:
```
K2ScMoO6
1.0
5.5215 0.0000 0.0000
0.0000 6.2360 0.0000
0.0000 -3.1180 5.4005
K Sc Mo O
2 1 1 6
direct
0.1308 0.3333 0.6667 K
0.8692 0.6667 0.3333 K
0.5000 0.0000 0.0000 Sc
0.0000 0.0000 0.0000 Mo
0.7770 0.1395 0.2791 O
0.7770 0.1395 0.8605 O
0.7770 0.7209 0.8605 O
0.2230 0.8605 0.1395 O
0.2230 0.2791 0.1395 O
0.2230 0.8605 0.7209 O
```

Results
Calculated volume (Å³/atom): 18.59
DFT total energy (eV per atom): -6.41
Fermi-level density of states (states/eV per cell): 2.31

---

Entry 2:
Below is a geometry-optimized K4Sc3MoO8 structure, with properties calculated at the PBE+U level.

Geometry as POSCAR:
```
K4Sc3MoO8
1.0
-6.4348 -1.0214 -0.3406
0.8099 -6.2610 3.4753
2.3033 5.3397 2.9579
K Sc Mo O
4 3 1 8
direct
0.5000 0.0000 0.0000 K
0.5000 0.0000 0.5000 K
0.0000 0.0000 0.0000 K
0.0000 0.0000 0.5000 K
0.5000 0.5000 0.0000 Sc
0.5000 0.5000 0.5000 Sc
0.0000 0.5000 0.5000 Sc
0.0000 0.5000 0.0000 Mo
0.2294 0.6794 0.9500 O
0.2294 0.6794 0.4588 O
0.2739 0.3218 0.5478 O
0.7205 0.6794 0.9500 O
0.2795 0.3206 0.0500 O
0.7261 0.6782 0.4522 O
0.7706 0.3206 0.5412 O
0.7706 0.3206 0.0500 O
```

Results
Calculated volume (Å³/atom): 14.15
DFT total energy (eV per atom): -6.86
Fermi-level density of states (states/eV per cell): 0.00

---

Entry 3:
Below is a geometry-optimized K2ScMo3O12 structure, with properties calculated at the PBE+U level.

Geometry as POSCAR:
```
K2ScMo3O12
1.0
-6.2821 1.7581 3.5680
-6.3899 0.5074 -3.7680
-5.2882 -5.1392 0.9539
K Sc Mo O
2 1 3 12
direct
0.6524 0.6524 0.6524 K
0.3476 0.3476 0.3476 K
0.0000 0.0000 0.0000 Sc
0.5000 0.0000 0.0000 Mo
0.0000 0.5000 0.0000 Mo
0.0000 0.0000 0.5000 Mo
0.3063 0.3063 0.9396 O
0.9309 0.9309 0.3344 O
0.3344 0.9309 0.9309 O
0.9396 0.3063 0.3063 O
0.9309 0.3344 0.9309 O
0.3063 0.9396 0.3063 O
0.6937 0.6937 0.0604 O
0.0691 0.0691 0.6656 O
0.6656 0.0691 0.0691 O
0.0604 0.6937 0.6937 O
0.0691 0.6656 0.0691 O
0.6937 0.0604 0.6937 O
```

Results
Calculated volume (Å³/atom): 16.17
DFT total energy (eV per atom): -6.78
Fermi-level density of states (states/eV per cell): 11.31

---

Entry 4:
Below is a geometry-optimized K2Mo2Se2O11 structure, with properties calculated at the PBE+U level.

Geometry as POSCAR:
```
K2Mo2Se2O11
1.0
6.8820 0.0000 0.0000
0.0000 10.4435 0.0000
0.0000 0.0000 15.1365
K Mo Se O
8 8 8 44
direct
0.4742 0.5272 0.7500 K
0.0258 0.0272 0.7500 K
0.5258 0.4728 0.2500 K
0.9742 0.9728 0.2500 K
0.5000 0.5000 0.5000 K
0.0000 0.0000 0.0000 K
0.5000 0.5000 0.0000 K
0.0000 0.0000 0.5000 K
0.4798 0.1643 0.6275 Mo
0.0202 0.6643 0.8725 Mo
0.5202 0.8357 0.1275 Mo
0.9798 0.3357 0.3725 Mo
0.5202 0.8357 0.3725 Mo
0.9798 0.3357 0.1275 Mo
0.4798 0.1643 0.8725 Mo
0.0202 0.6643 0.6275 Mo
0.5127 0.1606 0.3886 Se
0.9873 0.6606 0.1114 Se
0.4873 0.8394 0.8886 Se
0.0127 0.3394 0.6114 Se
0.4873 0.8394 0.6114 Se
0.0127 0.3394 0.8886 Se
0.5127 0.1606 0.1114 Se
0.9873 0.6606 0.3886 Se
0.5478 0.3232 0.6446 O
0.9522 0.8232 0.8554 O
0.4522 0.6768 0.1446 O
0.0478 0.1768 0.3554 O
0.4522 0.6768 0.3554 O
0.0478 0.1768 0.1446 O
0.5478 0.3232 0.8554 O
0.9522 0.8232 0.6446 O
0.7044 0.0857 0.6180 O
0.7956 0.5857 0.8820 O
0.2956 0.9143 0.1180 O
0.2044 0.4143 0.3820 O
0.2956 0.9143 0.3820 O
0.2044 0.4143 0.1180 O
0.7044 0.0857 0.8820 O
0.7956 0.5857 0.6180 O
0.4261 0.1222 0.7500 O
0.0739 0.6222 0.7500 O
0.5739 0.8778 0.2500 O
0.9261 0.3778 0.2500 O
0.4255 0.1852 0.4968 O
0.0745 0.6852 0.0032 O
0.5745 0.8148 0.9968 O
0.9255 0.3148 0.5032 O
0.5745 0.8148 0.5032 O
0.9255 0.3148 0.9968 O
0.4255 0.1852 0.0032 O
0.0745 0.6852 0.4968 O
0.6615 0.2917 0.3733 O
0.8385 0.7917 0.1267 O
0.3385 0.7083 0.8733 O
0.1615 0.2083 0.6267 O
0.3385 0.7083 0.6267 O
0.1615 0.2083 0.8733 O
0.6615 0.2917 0.1267 O
0.8385 0.7917 0.3733 O
0.6676 0.0322 0.3959 O
0.8324 0.5322 0.1041 O
0.3324 0.9678 0.8959 O
0.1676 0.4678 0.6041 O
0.3324 0.9678 0.6041 O
0.1676 0.4678 0.8959 O
0.6676 0.0322 0.1041 O
0.8324 0.5322 0.3959 O
```

Results
Calculated volume (Å³/atom): 16.00
DFT total energy (eV per atom): -6.02
Fermi-level density of states (states/eV per cell): 0.00

---

Entry 5:
Below is a geometry-optimized KMoSeO5 structure, with properties calculated at the PBE+U level.

Geometry as POSCAR:
```
KMoSeO5
1.0
-2.9728 -5.1342 0.3251
4.0096 -0.6164 4.3412
-5.0619 5.9119 2.1501
K Mo Se O
2 2 2 10
direct
0.3229 0.6771 0.2500 K
0.6771 0.3229 0.7500 K
0.0000 0.0000 0.5000 Mo
0.0000 0.0000 0.0000 Mo
0.7055 0.2945 0.2500 Se
0.2945 0.7055 0.7500 Se
0.0182 0.9818 0.2500 O
0.9818 0.0182 0.7500 O
0.8994 0.2891 0.0640 O
0.1006 0.7109 0.9360 O
0.7109 0.1006 0.4360 O
0.2891 0.8994 0.5640 O
0.7736 0.6085 0.3847 O
0.2264 0.3915 0.6153 O
0.3915 0.2264 0.1153 O
0.6085 0.7736 0.8847 O
```

Results
Calculated volume (Å³/atom): 15.25
DFT total energy (eV per atom): -5.79

---

Entry 6:
Below is a geometry-optimized K3Sm3MoO8 structure, with properties calculated at the PBE+U level.

Geometry as POSCAR:
```
K3Sm3MoO8
1.0
-5.0028 -1.9673 -4.4034
5.9067 -3.7252 0.4367
-4.8326 -0.4485 5.6908
K Sm Mo O
3 3 1 8
direct
0.0000 0.0000 0.0000 K
0.0000 0.5000 0.0000 K
0.5000 0.5000 0.0000 K
0.5000 0.0000 0.5000 Sm
0.5000 0.5000 0.5000 Sm
0.0000 0.5000 0.5000 Sm
0.0000 0.0000 0.5000 Mo
0.2723 0.5445 0.3126 O
0.7277 0.4555 0.6874 O
0.7857 0.5713 0.3231 O
0.2143 0.4287 0.6769 O
0.7933 0.0346 0.3269 O
0.2067 0.9654 0.6731 O
0.2413 0.0346 0.3269 O
0.7587 0.9654 0.6731 O
```

Results
Calculated volume (Å³/atom): 17.75
DFT total energy (eV per atom): -6.77
Fermi-level density of states (states/eV per cell): 0.00

---

Entry 7:
Below is a geometry-optimized KSmMoO5 structure, with properties calculated at the PBE+U level.

Geometry as POSCAR:
```
KSmMoO5
1.0
-6.3254 0.6449 1.2520
1.4306 -6.1206 1.5766
3.7263 4.5520 5.8401
K Sm Mo O
2 2 2 10
direct
0.3193 0.6807 0.2500 K
0.6807 0.3193 0.7500 K
0.0000 0.0000 0.5000 Sm
0.0000 0.0000 0.0000 Sm
0.6798 0.3202 0.2500 Mo
0.3202 0.6798 0.7500 Mo
0.0738 0.9262 0.2500 O
0.9262 0.0738 0.7500 O
0.8720 0.3087 0.1262 O
0.1280 0.6913 0.8738 O
0.6913 0.1280 0.3738 O
0.3087 0.8720 0.6262 O
0.7543 0.6025 0.3993 O
0.2457 0.3975 0.6007 O
0.3975 0.2457 0.1007 O
0.6025 0.7543 0.8993 O
```

Results
Calculated volume (Å³/atom): 19.16
DFT total energy (eV per atom): -6.96

---

Entry 8:
Below is a geometry-optimized K2Sm2MoO6 structure, with properties calculated at the PBE+U level.

Geometry as POSCAR:
```
K2Sm2MoO6
1.0
5.9372 0.0241 0.1016
-2.9136 5.1732 0.1016
-1.0340 -1.7773 6.2990
K Sm Mo O
2 2 1 6
direct
0.8408 0.1592 0.0000 K
0.1592 0.8408 0.0000 K
0.3367 0.6633 0.5000 Sm
0.6633 0.3367 0.5000 Sm
0.0000 0.0000 0.5000 Mo
0.7474 0.7474 0.6796 O
0.0481 0.3531 0.6713 O
0.2526 0.2526 0.3204 O
0.3531 0.0481 0.6713 O
0.9519 0.6469 0.3287 O
0.6469 0.9519 0.3287 O
```

Results
Calculated volume (Å³/atom): 17.82
DFT total energy (eV per atom): -6.81
Fermi-level density of states (states/eV per cell): 0.00

---

Entry 9:
Below is a geometry-optimized K2SmMo3O12 structure, with properties calculated at the PBE+U level.

Geometry as POSCAR:
```
K2SmMo3O12
1.0
7.6275 0.0804 0.0570
3.8368 6.5927 0.0570
3.8368 2.2333 6.2032
K Sm Mo O
2 1 3 12
direct
0.6527 0.6527 0.6527 K
0.3473 0.3473 0.3473 K
0.0000 0.0000 0.0000 Sm
0.5000 0.0000 0.0000 Mo
0.0000 0.5000 0.0000 Mo
0.0000 0.0000 0.5000 Mo
0.2950 0.2950 0.9341 O
0.9156 0.9156 0.3680 O
0.3680 0.9156 0.9156 O
0.9341 0.2950 0.2950 O
0.9156 0.3680 0.9156 O
0.2950 0.9341 0.2950 O
0.7050 0.7050 0.0659 O
0.0844 0.0844 0.6320 O
0.6320 0.0844 0.0844 O
0.0659 0.7050 0.7050 O
0.0844 0.6320 0.0844 O
0.7050 0.0659 0.7050 O
```

Results
Calculated volume (Å³/atom): 17.12
DFT total energy (eV per atom): -6.68
Fermi-level density of states (states/eV per cell): 10.25

---

Entry 10:
Below is a geometry-optimized KSrMoO4 structure, with properties calculated at the PBE+U level.

Geometry as POSCAR:
```
KSrMoO4
1.0
6.4831 0.0000 0.6107
0.0000 6.2259 0.0000
-1.8893 0.0000 7.3083
K Sr Mo O
2 2 2 8
direct
0.6917 0.7500 0.8968 K
0.3083 0.2500 0.1032 K
0.8222 0.7500 0.4339 Sr
0.1778 0.2500 0.5661 Sr
0.3095 0.7500 0.3486 Mo
0.6905 0.2500 0.6514 Mo
0.8929 0.4753 0.6737 O
0.1071 0.9753 0.3263 O
0.1071 0.5247 0.3263 O
0.8929 0.0247 0.6737 O
0.4822 0.7500 0.1770 O
0.5178 0.2500 0.8230 O
0.4489 0.7500 0.5778 O
0.5511 0.2500 0.4222 O
```

Results
Calculated volume (Å³/atom): 21.58
DFT total energy (eV per atom): -6.26
Fermi-level density of states (states/eV per cell): 0.00

---

Entry 11:
Below is a geometry-optimized K3Sr2MoO6 structure, with properties calculated at the PBE+U level.

Geometry as POSCAR:
```
K3Sr2MoO6
1.0
6.1588 -0.0122 0.0001
-3.0885 5.3284 0.0001
-1.0243 -1.7736 6.1692
K Sr Mo O
3 2 1 6
direct
0.1642 0.8358 0.5000 K
0.8358 0.1642 0.5000 K
0.5000 0.5000 0.5000 K
0.3306 0.6694 0.0000 Sr
0.6694 0.3306 0.0000 Sr
0.0000 0.0000 0.0000 Mo
0.9354 0.6532 0.8083 O
0.7940 0.7940 0.1810 O
0.0646 0.3468 0.1917 O
0.6532 0.9354 0.8083 O
0.2060 0.2060 0.8190 O
0.3468 0.0646 0.1917 O
```

Results
Calculated volume (Å³/atom): 16.85
DFT total energy (eV per atom): -5.65
Fermi-level density of states (states/eV per cell): 0.00

---

Entry 12:
Below is a geometry-optimized KSrMo2O8 structure, with properties calculated at the PBE+U level.

Geometry as POSCAR:
```
KSrMo2O8
1.0
6.6371 0.0421 0.0000
-2.9060 5.9673 0.0000
-1.8656 -3.0047 5.6165
K Sr Mo O
1 1 2 8
direct
0.0000 0.0000 0.0000 K
0.2500 0.7500 0.5000 Sr
0.7500 0.2500 0.5000 Mo
0.5000 0.5000 0.0000 Mo
0.4145 0.0910 0.3236 O
0.3530 0.5381 0.1851 O
0.3530 0.1679 0.8149 O
0.7674 0.0910 0.6764 O
0.8321 0.6470 0.1851 O
0.9090 0.2326 0.3236 O
0.9090 0.5855 0.6764 O
0.4619 0.6470 0.8149 O
```

Results
Calculated volume (Å³/atom): 18.59
DFT total energy (eV per atom): -6.54
Fermi-level density of states (states/eV per cell): 11.61